## i
Compound: NiBi3Rh
Source: Alexandria
Functional: PBE
Structure: optimized geometry

a b c (Å): 3.4744 9.2092 8.4702
angles (deg): 67.19 77.73 78.47
Fractional positions:
Rh: 0.0260 0.1295 0.6395
Rh: 0.4593 0.7749 0.1428
Bi: 0.6531 0.1580 0.3649
Bi: 0.1146 0.5366 0.0644
Bi: 0.8323 0.7464 0.4173
Bi: 0.3693 0.3678 0.7178
Bi: 0.5960 0.8726 0.7682
Bi: 0.8894 0.0317 0.0140
Ni: 0.7330 0.5825 0.7642
Ni: 0.7502 0.3219 0.0179

***

## ii
Compound: NiBi3Rh
Source: Alexandria
Functional: PBE
Structure: optimized geometry

a b c (Å): 5.2531 5.2531 5.2531
angles (deg): 90.00 90.00 90.00
Fractional positions:
Bi: 0.0000 0.0000 0.5000
Bi: 0.5000 0.0000 0.0000
Bi: 0.0000 0.5000 0.0000
Rh: 0.0000 0.0000 0.0000
Ni: 0.5000 0.5000 0.5000

***

It is i that is most stable; the runner-up trails by 62.7 kJ/mol of atoms.

***

## i
Compound: Ni2BiRh2
Source: Alexandria
Functional: PBE
Structure: optimized geometry

a b c (Å): 7.2283 7.2283 2.9852
angles (deg): 90.00 90.00 90.00
Each line ends with the local moment (μB).
Fractional positions:
Rh: 0.8689 0.6311 0.0000  0.29
Rh: 0.3689 0.8689 0.0000  0.30
Rh: 0.1311 0.3689 0.0000  0.29
Rh: 0.6311 0.1311 0.0000  0.30
Ni: 0.1620 0.6620 0.5000  0.46
Ni: 0.8380 0.3380 0.5000  0.46
Ni: 0.6620 0.8380 0.5000  0.43
Ni: 0.3380 0.1620 0.5000  0.43
Bi: 0.5000 0.5000 0.0000  -0.02
Bi: 0.0000 0.0000 0.0000  -0.02

***

## ii
Compound: Ni2BiRh2
Source: Alexandria
Functional: PBE
Structure: optimized geometry

a b c (Å): 3.7541 3.7541 6.3651
angles (deg): 72.85 72.85 90.00
Each line ends with the local moment (μB).
Fractional positions:
Ni: 0.6030 0.6030 0.7940  0.55
Ni: 0.3970 0.3970 0.2060  0.55
Bi: 0.0000 0.0000 0.0000  -0.03
Rh: 0.2500 0.7500 0.5000  0.68
Rh: 0.7500 0.2500 0.5000  0.68

***

## iii
Compound: Ni2BiRh2
Source: Alexandria
Functional: PBE
Structure: optimized geometry

a b c (Å): 6.6522 6.6522 3.5118
angles (deg): 90.00 90.00 90.00
Each line ends with the local moment (μB).
Fractional positions:
Bi: 0.0000 0.0000 0.0000  0.00
Bi: 0.5000 0.5000 0.0000  0.00
Rh: 0.6519 0.8481 0.5000  0.46
Rh: 0.1519 0.6519 0.5000  0.44
Rh: 0.8481 0.3481 0.5000  0.44
Rh: 0.3481 0.1519 0.5000  0.46
Ni: 0.1285 0.3715 0.0000  0.55
Ni: 0.8715 0.6285 0.0000  0.55
Ni: 0.6285 0.1285 0.0000  0.54
Ni: 0.3715 0.8715 0.0000  0.54

***

It is iii that is most stable; the runner-up trails by 1.0 kJ/mol of atoms.

***

## i
Compound: ZrNi2BiRh
Source: Alexandria
Functional: PBE
Structure: optimized geometry

a b c (Å): 4.6598 4.8477 4.6598
angles (deg): 90.00 90.00 90.00
Each line ends with the local moment (μB).
Fractional positions:
Rh: 0.0000 0.0000 0.0000  0.34
Bi: 0.5000 0.5000 0.5000  0.00
Ni: 0.0000 0.0000 0.5000  0.70
Ni: 0.5000 0.0000 0.0000  0.40
Zr: 0.0000 0.5000 0.0000  -0.08

***

## ii
Compound: ZrNi2BiRh
Source: Alexandria
Functional: PBE
Structure: optimized geometry

a b c (Å): 4.7034 4.8147 4.7034
angles (deg): 90.00 90.00 90.00
Fractional positions:
Rh: 0.0000 0.5000 0.0000
Bi: 0.5000 0.5000 0.5000
Zr: 0.0000 0.0000 0.0000
Ni: 0.5000 0.0000 0.0000
Ni: 0.0000 0.0000 0.5000

***

It is i that is most stable; the runner-up trails by 24.3 kJ/mol of atoms.

***

## i
Compound: NiBi3S
Source: Alexandria
Functional: PBE
Structure: optimized geometry

a b c (Å): 5.3196 5.3196 5.3196
angles (deg): 90.00 90.00 90.00
Fractional positions:
Bi: 0.0000 0.5000 0.0000
Bi: 0.0000 0.0000 0.5000
Bi: 0.5000 0.0000 0.0000
Ni: 0.5000 0.5000 0.5000
S: 0.0000 0.0000 0.0000

***

## ii
Compound: NiBi3S
Source: Alexandria
Functional: PBE
Structure: optimized geometry

a b c (Å): 5.1343 5.1343 5.1343
angles (deg): 90.00 90.00 90.00
Fractional positions:
Bi: 0.0000 0.0000 0.5000
Bi: 0.5000 0.0000 0.0000
Bi: 0.0000 0.5000 0.0000
Ni: 0.0000 0.0000 0.0000
S: 0.5000 0.5000 0.5000

***

It is ii that is most stable; the runner-up trails by 41.6 kJ/mol of atoms.

***

## i
Compound: NiBiSb
Source: Alexandria
Functional: PBE
Structure: optimized geometry

a b c (Å): 3.9028 5.4325 6.5194
angles (deg): 90.00 90.00 90.00
Fractional positions:
Ni: 0.0000 0.2294 0.0043
Ni: 0.5000 0.7706 0.5043
Sb: 0.5000 0.9716 0.8575
Sb: 0.0000 0.0284 0.3575
Bi: 0.5000 0.5301 0.1459
Bi: 0.0000 0.4699 0.6459

***

## ii
Compound: NiBiSb
Source: Alexandria
Functional: PBE
Structure: optimized geometry

a b c (Å): 4.6272 4.6272 4.6272
angles (deg): 60.00 60.00 60.00
Fractional positions:
Sb: 0.5000 0.5000 0.5000
Ni: 0.2500 0.2500 0.2500
Bi: 0.0000 0.0000 0.0000

***

It is i that is most stable; the runner-up trails by 7.1 kJ/mol of atoms.

***

## i
Compound: NiBiSb
Source: Alexandria
Functional: PBE
Structure: optimized geometry

a b c (Å): 5.3200 6.8464 7.6094
angles (deg): 90.25 90.00 90.00
Fractional positions:
Ni: 0.4929 0.2334 0.6343
Ni: 0.9929 0.7666 0.8657
Ni: 0.5071 0.7666 0.3657
Ni: 0.0071 0.2334 0.1343
Bi: 0.7651 0.4269 0.3915
Bi: 0.7349 0.4269 0.8915
Bi: 0.2651 0.5731 0.1085
Bi: 0.2349 0.5731 0.6085
Sb: 0.2776 0.0668 0.8960
Sb: 0.2224 0.0668 0.3960
Sb: 0.7776 0.9332 0.6040
Sb: 0.7224 0.9332 0.1040

***

## ii
Compound: NiBiSb
Source: Alexandria
Functional: PBE
Structure: optimized geometry

a b c (Å): 5.3343 3.9639 3.9639
angles (deg): 120.00 90.00 90.00
Fractional positions:
Ni: 0.3135 0.3333 0.6667
Bi: 0.5790 0.6667 0.3333
Sb: 0.1075 0.0000 0.0000

***

It is i that is most stable; the runner-up trails by 3.2 kJ/mol of atoms.

***

## i
Compound: NiBi3Sb
Source: Alexandria
Functional: PBE
Structure: optimized geometry

a b c (Å): 5.7858 5.7858 5.7858
angles (deg): 90.00 90.00 90.00
Fractional positions:
Ni: 0.5000 0.5000 0.5000
Bi: 0.5000 0.0000 0.0000
Bi: 0.0000 0.0000 0.5000
Bi: 0.0000 0.5000 0.0000
Sb: 0.0000 0.0000 0.0000

***

## ii
Compound: NiBi3Sb
Source: Alexandria
Functional: PBE
Structure: optimized geometry

a b c (Å): 5.2074 5.2074 5.2074
angles (deg): 90.00 90.00 90.00
Fractional positions:
Ni: 0.0000 0.0000 0.0000
Bi: 0.0000 0.5000 0.0000
Bi: 0.0000 0.0000 0.5000
Bi: 0.5000 0.0000 0.0000
Sb: 0.5000 0.5000 0.5000

***

It is ii that is most stable; the runner-up trails by 96.3 kJ/mol of atoms.

***

## i
Compound: NiBiSb2Te
Source: Alexandria
Functional: PBE
Structure: optimized geometry

a b c (Å): 4.9649 4.9649 5.3681
angles (deg): 90.00 90.00 90.00
Fractional positions:
Sb: 0.5000 0.0000 0.0000
Sb: 0.0000 0.5000 0.0000
Ni: 0.0000 0.0000 0.0000
Bi: 0.5000 0.5000 0.5000
Te: 0.0000 0.0000 0.5000

***

## ii
Compound: NiBiSb2Te
Source: Alexandria
Functional: PBE
Structure: optimized geometry

a b c (Å): 5.7666 5.7666 5.9142
angles (deg): 90.00 90.00 90.00
Fractional positions:
Bi: 0.0000 0.0000 0.0000
Ni: 0.5000 0.5000 0.5000
Sb: 0.5000 0.0000 0.0000
Sb: 0.0000 0.5000 0.0000
Te: 0.0000 0.0000 0.5000

***

It is i that is most stable; the runner-up trails by 114.0 kJ/mol of atoms.

***

## i
Compound: Sc2Ni2Bi
Source: Alexandria
Functional: PBE
Structure: optimized geometry

a b c (Å): 7.2754 7.2754 3.4139
angles (deg): 90.00 90.00 90.00
Fractional positions:
Bi: 0.5000 0.5000 0.0000
Bi: 0.0000 0.0000 0.0000
Ni: 0.6209 0.1209 0.0000
Ni: 0.1209 0.3791 0.0000
Ni: 0.8791 0.6209 0.0000
Ni: 0.3791 0.8791 0.0000
Sc: 0.1641 0.6641 0.5000
Sc: 0.8359 0.3359 0.5000
Sc: 0.3359 0.1641 0.5000
Sc: 0.6641 0.8359 0.5000

***

## ii
Compound: Sc2Ni2Bi
Source: Alexandria
Functional: PBE
Structure: optimized geometry

a b c (Å): 7.7149 7.7149 3.2645
angles (deg): 90.00 90.00 90.00
Fractional positions:
Sc: 0.3527 0.8527 0.0000
Sc: 0.1473 0.3527 0.0000
Sc: 0.8527 0.6473 0.0000
Sc: 0.6473 0.1473 0.0000
Ni: 0.6242 0.8758 0.5000
Ni: 0.8758 0.3758 0.5000
Ni: 0.3758 0.1242 0.5000
Ni: 0.1242 0.6242 0.5000
Bi: 0.0000 0.0000 0.0000
Bi: 0.5000 0.5000 0.0000

***

## iii
Compound: Sc2Ni2Bi
Source: Alexandria
Functional: PBE
Structure: optimized geometry

a b c (Å): 4.3968 4.3968 5.9241
angles (deg): 68.22 68.22 90.00
Fractional positions:
Sc: 0.2500 0.7500 0.5000
Sc: 0.7500 0.2500 0.5000
Ni: 0.6120 0.6120 0.7761
Ni: 0.3880 0.3880 0.2239
Bi: 0.0000 0.0000 0.0000

***

It is i that is most stable; the runner-up trails by 21.4 kJ/mol of atoms.

***

## i
Compound: ScNi2Bi2
Source: Alexandria
Functional: PBE
Structure: optimized geometry

a b c (Å): 4.9435 4.9435 5.5412
angles (deg): 63.51 63.51 90.00
Fractional positions:
Ni: 0.3642 0.3642 0.2715
Ni: 0.6358 0.6358 0.7285
Bi: 0.7500 0.2500 0.5000
Bi: 0.2500 0.7500 0.5000
Sc: 0.0000 0.0000 0.0000

***

## ii
Compound: ScNi2Bi2
Source: Alexandria
Functional: PBE
Structure: optimized geometry

a b c (Å): 7.0958 7.0958 3.8914
angles (deg): 90.00 90.00 90.00
Fractional positions:
Ni: 0.8788 0.6212 0.0000
Ni: 0.1212 0.3788 0.0000
Ni: 0.3788 0.8788 0.0000
Ni: 0.6212 0.1212 0.0000
Bi: 0.3216 0.1784 0.5000
Bi: 0.8216 0.3216 0.5000
Bi: 0.1784 0.6784 0.5000
Bi: 0.6784 0.8216 0.5000
Sc: 0.5000 0.5000 0.0000
Sc: 0.0000 0.0000 0.0000

***

It is ii that is most stable; the runner-up trails by 15.8 kJ/mol of atoms.

***

## i
Compound: NiBi3Se
Source: Alexandria
Functional: PBE
Structure: optimized geometry

a b c (Å): 5.1637 5.1637 5.1637
angles (deg): 90.00 90.00 90.00
Fractional positions:
Se: 0.5000 0.5000 0.5000
Bi: 0.0000 0.0000 0.5000
Bi: 0.5000 0.0000 0.0000
Bi: 0.0000 0.5000 0.0000
Ni: 0.0000 0.0000 0.0000

***

## ii
Compound: NiBi3Se
Source: Alexandria
Functional: PBE
Structure: optimized geometry

a b c (Å): 5.5117 5.5117 5.5117
angles (deg): 90.00 90.00 90.00
Each line ends with the local moment (μB).
Fractional positions:
Ni: 0.5000 0.5000 0.5000  0.66
Se: 0.0000 0.0000 0.0000  -0.01
Bi: 0.0000 0.5000 0.0000  0.00
Bi: 0.0000 0.0000 0.5000  0.01
Bi: 0.5000 0.0000 0.0000  0.02

***

It is i that is most stable; the runner-up trails by 67.5 kJ/mol of atoms.

***

## i
Compound: SiNi2Bi
Source: Alexandria
Functional: PBE
Structure: optimized geometry

a b c (Å): 4.3637 4.3637 8.1632
angles (deg): 74.50 74.50 90.00
Fractional positions:
Si: 0.2500 0.7500 0.5000
Si: 0.5000 0.5000 0.0000
Ni: 0.8750 0.7713 0.7500
Ni: 0.3750 0.4787 0.7500
Ni: 0.2287 0.6250 0.2500
Ni: 0.5213 0.1250 0.2500
Bi: 0.0000 0.0000 0.0000
Bi: 0.7500 0.2500 0.5000

***

## ii
Compound: SiNi2Bi
Source: Alexandria
Functional: PBE
Structure: optimized geometry

a b c (Å): 4.4605 4.4605 4.4605
angles (deg): 60.00 60.00 60.00
Fractional positions:
Si: 0.0000 0.0000 0.0000
Ni: 0.2500 0.2500 0.2500
Ni: 0.7500 0.7500 0.7500
Bi: 0.5000 0.5000 0.5000

***

It is i that is most stable; the runner-up trails by 12.9 kJ/mol of atoms.